CsTcB3 | PBE | optimized geometry

a = 4.3946 Å, b = 4.3946 Å, c = 4.3946 Å
α = 90.00°, β = 90.00°, γ = 90.00°
With the nearest neighbours (Å) after each atom.
Atoms (fractional coordinates):
Tc: 0.5000 0.5000 0.5000  12 B 3.11
B: 0.5000 0.0000 0.0000  2 Cs 2.20
B: 0.0000 0.0000 0.5000  2 Cs 2.20
B: 0.0000 0.5000 0.0000  2 Cs 2.20
Cs: 0.0000 0.0000 0.0000  6 B 2.20

=====

Nd2EuGe | PBE | optimized geometry

a = 4.7118 Å, b = 4.8983 Å, c = 4.8983 Å
α = 90.00°, β = 90.00°, γ = 90.00°
With the nearest neighbours (Å) after each atom.
Atoms (fractional coordinates):
Nd: 0.0000 0.5000 0.0000  4 Eu 3.40, 4 Ge 3.40, 4 Nd 3.46
Nd: 0.0000 0.0000 0.5000  4 Ge 3.40, 4 Eu 3.40, 4 Nd 3.46
Ge: 0.5000 0.5000 0.5000  8 Nd 3.40, 4 Eu 3.46
Eu: 0.5000 0.0000 0.0000  8 Nd 3.40, 4 Ge 3.46

=====

Dy2Ho8In | PBE | optimized geometry

a = 5.3791 Å, b = 7.5069 Å, c = 9.7167 Å
α = 112.72°, β = 106.07°, γ = 90.00°
With the nearest neighbours (Å) after each atom.
Atoms (fractional coordinates):
Ho: 0.0000 0.7403 0.0000  2 In 3.32, 7 Ho 3.57-3.66
Ho: 0.1810 0.1810 0.3620  4 Dy 3.44-3.76, 8 Ho 3.44-3.66
Ho: 0.3623 0.1308 0.7246  1 In 3.10, 2 Dy 3.34, 2 Ho 3.44
Ho: 0.6377 0.8692 0.2754  1 In 3.10, 2 Dy 3.34, 2 Ho 3.44
Ho: 0.3623 0.5939 0.7246  1 In 3.10, 2 Dy 3.34, 2 Ho 3.44
Ho: 0.8190 0.8190 0.6380  4 Dy 3.44-3.76, 8 Ho 3.44-3.66
Ho: 0.0000 0.2597 0.0000  2 In 3.32, 7 Ho 3.57-3.66
Ho: 0.6377 0.4061 0.2754  1 In 3.10, 2 Dy 3.34, 2 Ho 3.44
Dy: 0.1936 0.6936 0.3873  8 Ho 3.34-3.52
Dy: 0.8064 0.3064 0.6127  8 Ho 3.34-3.52
In: 0.5000 0.0000 0.0000  8 Ho 3.10-3.32

=====

YEr2N3 | PBE | optimized geometry

a = 4.8709 Å, b = 6.8908 Å, c = 10.3377 Å
α = 90.00°, β = 90.00°, γ = 90.00°
With the nearest neighbours (Å) after each atom.
Atoms (fractional coordinates):
N: 0.2500 0.1251 0.2495  2 Y 2.43-2.44, 4 Er 2.43-2.44
N: 0.7501 0.8775 0.4153  5 Er 2.41-2.44, 1 Y 2.46
N: 0.7500 0.8722 0.0841  3 Er 2.41-2.45, 3 Y 2.44-2.46
N: 0.7500 0.3722 0.4159  3 Er 2.41-2.45, 3 Y 2.44-2.46
N: 0.2500 0.6278 0.5841  3 Er 2.41-2.45, 3 Y 2.44-2.46
N: 0.2500 0.6251 0.2505  2 Y 2.43-2.44, 4 Er 2.43-2.44
N: 0.2500 0.1278 0.9159  3 Er 2.41-2.45, 3 Y 2.44-2.46
N: 0.7501 0.3775 0.0847  5 Er 2.41-2.44, 1 Y 2.46
N: 0.7500 0.8749 0.7505  2 Y 2.43-2.44, 4 Er 2.43-2.44
N: 0.2499 0.6225 0.9153  5 Er 2.41-2.44, 1 Y 2.46
N: 0.7500 0.3749 0.7495  2 Y 2.43-2.44, 4 Er 2.43-2.44
N: 0.2499 0.1225 0.5847  5 Er 2.41-2.44, 1 Y 2.46
Y: 0.7500 0.6254 0.5836  6 N 2.43-2.46
Y: 0.2500 0.3746 0.4164  6 N 2.43-2.46
Y: 0.2500 0.8746 0.0836  6 N 2.43-2.46
Y: 0.7500 0.1254 0.9164  6 N 2.43-2.46
Er: 0.7500 0.6247 0.9167  6 N 2.43-2.44
Er: 0.7500 0.6250 0.2496  6 N 2.41-2.45
Er: 0.7500 0.1250 0.2504  6 N 2.41-2.45
Er: 0.2500 0.3750 0.7504  6 N 2.41-2.45
Er: 0.7500 0.1247 0.5833  6 N 2.43-2.44
Er: 0.2500 0.3753 0.0833  6 N 2.43-2.44
Er: 0.2500 0.8750 0.7496  6 N 2.41-2.45
Er: 0.2500 0.8753 0.4167  6 N 2.43-2.44

=====

Nd3Dy2TmTe6 | PBE | optimized geometry

a = 4.3634 Å, b = 8.9514 Å, c = 9.9393 Å
α = 104.63°, β = 102.68°, γ = 90.00°
With the nearest neighbours (Å) after each atom.
Atoms (fractional coordinates):
Dy: 0.8320 0.6644 0.6640  6 Te 3.06-3.10
Dy: 0.1680 0.3356 0.3360  6 Te 3.06-3.10
Te: 0.3382 0.9105 0.6764  1 Tm 3.03, 2 Dy 3.08, 3 Nd 3.18-3.19
Te: 0.3312 0.4233 0.6624  3 Dy 3.06-3.07, 3 Nd 3.17
Te: 0.0024 0.2395 0.0047  2 Tm 3.05, 1 Dy 3.10, 3 Nd 3.20-3.21
Te: 0.6618 0.0895 0.3236  1 Tm 3.03, 2 Dy 3.08, 3 Nd 3.18-3.19
Te: 0.6688 0.5767 0.3376  3 Dy 3.06-3.07, 3 Nd 3.17
Te: 0.9976 0.7605 0.9953  2 Tm 3.05, 1 Dy 3.10, 3 Nd 3.20-3.21
Nd: 0.8314 0.1660 0.6628  6 Te 3.17-3.21
Nd: 0.1686 0.8340 0.3372  6 Te 3.17-3.21
Nd: 0.5000 0.5000 0.0000  6 Te 3.17-3.20
Tm: 0.5000 0.0000 0.0000  6 Te 3.03-3.05

=====

LiTiIn | PBE | optimized geometry

a = 3.0408 Å, b = 4.0301 Å, c = 9.1570 Å
α = 90.00°, β = 94.49°, γ = 90.00°
With the nearest neighbours (Å) after each atom.
Atoms (fractional coordinates):
In: 0.2929 0.2500 0.2540  5 Li 2.87-3.06, 5 Ti 2.99-3.04, 2 In 3.04
In: 0.7071 0.7500 0.7460  5 Li 2.87-3.06, 5 Ti 2.99-3.04, 2 In 3.04
Li: 0.2062 0.2500 0.5844  4 Li 2.78-3.04, 5 In 2.87-3.06
Li: 0.7938 0.7500 0.4156  4 Li 2.78-3.04, 5 In 2.87-3.06
Ti: 0.7655 0.7500 0.0733  6 Ti 2.85-3.04, 5 In 2.99-3.04, 1 Li 3.13
Ti: 0.2345 0.2500 0.9267  6 Ti 2.85-3.04, 5 In 2.99-3.04, 1 Li 3.13

=====

AgSbO12 | PBE | optimized geometry

a = 7.8441 Å, b = 7.8441 Å, c = 7.8441 Å
α = 60.00°, β = 60.00°, γ = 60.00°
With the nearest neighbours (Å) after each atom.
Atoms (fractional coordinates):
O: 0.8070 0.3657 0.8070  2 O 1.67
O: 0.0202 0.8070 0.8070  2 O 1.67
O: 0.3657 0.8070 0.8070  2 O 1.67
O: 0.8070 0.8070 0.0202  2 O 1.67
O: 0.4430 0.4430 0.2298  2 O 1.67
O: 0.2298 0.4430 0.4430  2 O 1.67
O: 0.3657 0.0202 0.8070  2 O 1.67
O: 0.8843 0.4430 0.2298  2 O 1.67
O: 0.4430 0.2298 0.4430  2 O 1.67
O: 0.8843 0.4430 0.4430  2 O 1.67
O: 0.8070 0.0202 0.3657  2 O 1.67
O: 0.2298 0.8843 0.4430  2 O 1.67
O: 0.3657 0.8070 0.0202  2 O 1.67
O: 0.0202 0.8070 0.3657  2 O 1.67
O: 0.8843 0.2298 0.4430  2 O 1.67
O: 0.4430 0.8843 0.2298  2 O 1.67
O: 0.8070 0.0202 0.8070  2 O 1.67
O: 0.4430 0.2298 0.8843  2 O 1.67
O: 0.4430 0.8843 0.4430  2 O 1.67
O: 0.4430 0.4430 0.8843  2 O 1.67
O: 0.8070 0.3657 0.0202  2 O 1.67
O: 0.2298 0.4430 0.8843  2 O 1.67
O: 0.0202 0.3657 0.8070  2 O 1.67
O: 0.8070 0.8070 0.3657  2 O 1.67
Ag: 0.5000 0.5000 0.5000  12 O 2.64
Ag: 0.7500 0.7500 0.7500  12 O 2.64
Sb: 0.2500 0.2500 0.2500  12 O 2.53
Sb: 0.0000 0.0000 0.0000  12 O 2.53

=====

Q: Which total energy values were calculated for the entries above? A: -2.317 -6.411 -4.411 -8.512 -5.242 -4.343 -3.670, in eV/atom.
Q: Which N(E_F) values were calculated for the entries above? A: 3.4331 1.0440 1.3371 0.0377 0.4983 0.7489 0.6401, in states/eV per atom.
Q: Which total magnetic moment values were calculated for the entries above? A: 0.00 7.49 0.00 0.00 0.00 0.00 0.00, in Bohr magnetons per cell.